Below is a geometry-optimized RbInAgSb structure, with properties calculated at the PBE level.

Values from the calculation:
ΔE_f (raw) in eV per atom: -0.008
Size of the total moment in μB per formula unit: 0.0
E_tot in eV per cell: -21.43
D(E_F) in states/eV/f.u.: 1.19

abc: 4.826 4.826 12.886
angles: 90.00 90.00 90.00
Space group P4/nmm (No. 129, origin choice 2)
Inequivalent atoms, fractional coordinates:
Rb1 0.250 0.250 0.216 x2
In1 0.250 0.750 0.500 x2
Ag1 0.250 0.750 0.000 x2
Sb1 0.250 0.250 0.636 x2